The following is a PBE-GGA calculation of a relaxed Cs2Ce2CuS6 crystal, from Alexandria via LeMat-Bulk.

abc: 6.781 12.411 8.521
angles: 90.00 105.16 90.00
Space group C2/m (No. 12)
Inequivalent atoms, fractional coordinates:
Cs: 0.000 0.156 0.000 (multiplicity 4)
Ce: 0.000 0.334 0.500 (multiplicity 4)
Cu: 0.000 0.000 0.500 (multiplicity 2)
S: 0.233 0.176 0.683 (multiplicity 8)
S: 0.237 0.000 0.350 (multiplicity 4)

Results
Formation energy without anion corrections, eV per atom: -1.28
Energy, eV per atom: -5.134